DFT (PBE+U) results for a relaxed structure of VAsC2O.

a b c (Å): 4.0975 4.0975 3.5949
angles (deg): 90.00 90.00 90.00
Element x y z (fractional)
V 0.0000 0.0000 0.0000
As 0.5000 0.5000 0.5000
C 0.0000 0.5000 0.0000
C 0.5000 0.0000 0.0000
O 0.0000 0.0000 0.5000

Summary:
total DFT energy (no corrections) = -5.860 eV/atom